No. 1
{
  "formula": "AgAs2OsRu",
  "functional": "PBE",
  "state": "relaxed",
  "lattice_angstrom": [[4.646, 0.000, 0.000], [0.000, 5.179, 0.000], [0.000, 0.000, 4.646]],
  "species": ["Ru", "As", "As", "Os", "Ag"],
  "fractional_positions": [[0.500, 0.500, 0.500], [0.000, 0.000, 0.500], [0.500, 0.000, 0.000], [0.000, 0.000, 0.000], [0.000, 0.500, 0.000]],
  "formation_energy_kj_per_mol_atoms": 120.0,
  "e_tot_ev_per_cell": -26.44,
  "crystal_system": "tetragonal"
}

=====

No. 2
{
  "formula": "CuTeCl",
  "functional": "PBE",
  "state": "relaxed",
  "lattice_angstrom": [[-1.046, -2.337, 2.378], [4.956, -0.851, 4.062], [-1.399, 4.160, 6.024]],
  "species": ["Cu", "Cu", "Te", "Te", "Cl", "Cl"],
  "fractional_positions": [[0.102, 0.160, 0.627], [0.898, 0.840, 0.373], [0.447, 0.213, 0.883], [0.553, 0.787, 0.117], [0.674, 0.246, 0.391], [0.326, 0.754, 0.609]],
  "e_tot_ev_per_cell": -19.89,
  "raw_formation_energy_ev_per_atom": -0.2875,
  "crystal_system": "triclinic"
}

=====

No. 3
{
  "formula": "LiIn2Sb",
  "functional": "PBE",
  "state": "relaxed",
  "lattice_angstrom": [[5.788, 0.179, 0.000], [2.079, 5.405, 0.000], [-3.933, -2.792, 3.205]],
  "species": ["In", "In", "Li", "Sb"],
  "fractional_positions": [[0.000, 0.000, 0.000], [0.250, 0.750, 0.500], [0.500, 0.500, 0.000], [0.750, 0.250, 0.500]],
  "e_tot_ev_per_cell": -12.06,
  "raw_formation_energy_ev_per_atom": -0.1360,
  "crystal_system": "tetragonal"
}

=====

No. 4
{
  "formula": "ScCd3Cu",
  "functional": "PBE",
  "state": "relaxed",
  "lattice_angstrom": [[4.886, 0.000, 0.000], [0.000, 4.886, 0.000], [0.000, 0.000, 4.886]],
  "species": ["Sc", "Cu", "Cd", "Cd", "Cd"],
  "fractional_positions": [[0.500, 0.500, 0.500], [0.000, 0.000, 0.000], [0.000, 0.500, 0.000], [0.000, 0.000, 0.500], [0.500, 0.000, 0.000]],
  "relative_energy_mev_per_atom": 0.0,
  "formation_energy_kj_per_mol_atoms": 18.9,
  "e_tot_ev_per_cell": -12.19,
  "crystal_system": "cubic"
}

=====

No. 5
{
  "formula": "ReOsS2Cl",
  "functional": "PBE",
  "state": "relaxed",
  "lattice_angstrom": [[4.576, 0.000, 0.000], [0.000, 4.576, 0.000], [0.000, 0.000, 4.942]],
  "species": ["Re", "S", "S", "Os", "Cl"],
  "fractional_positions": [[0.000, 0.000, 0.000], [0.000, 0.500, 0.000], [0.500, 0.000, 0.000], [0.500, 0.500, 0.500], [0.000, 0.000, 0.500]],
  "relative_energy_mev_per_atom": 9.1,
  "e_tot_ev_per_cell": -26.90,
  "raw_formation_energy_ev_per_atom": 1.3759,
  "crystal_system": "tetragonal"
}

=====

No. 6
{
  "formula": "LiAc2PbN",
  "functional": "PBE",
  "state": "relaxed",
  "lattice_angstrom": [[-2.115, -3.570, -0.357], [2.392, -2.090, 6.726], [-7.879, 4.564, 1.045]],
  "species": ["Li", "Li", "Ac", "Ac", "Ac", "Ac", "Pb", "Pb", "N", "N"],
  "fractional_positions": [[0.250, 0.570, 0.753], [0.750, 0.430, 0.247], [0.750, 0.823, 0.632], [0.750, 0.798, 0.033], [0.250, 0.177, 0.368], [0.250, 0.202, 0.967], [0.250, 0.682, 0.302], [0.750, 0.318, 0.698], [0.250, 0.853, 0.829], [0.750, 0.147, 0.171]],
  "e_tot_ev_per_cell": -51.26,
  "raw_formation_energy_ev_per_atom": -0.6932,
  "crystal_system": "monoclinic"
}

=====

No. 7
{
  "formula": "SrHf3Ir",
  "functional": "PBE",
  "state": "relaxed",
  "lattice_angstrom": [[5.155, 0.000, 0.000], [0.000, 5.155, 0.000], [0.000, 0.000, 5.155]],
  "species": ["Sr", "Ir", "Hf", "Hf", "Hf"],
  "fractional_positions": [[0.500, 0.500, 0.500], [0.000, 0.000, 0.000], [0.000, 0.500, 0.000], [0.000, 0.000, 0.500], [0.500, 0.000, 0.000]],
  "relative_energy_mev_per_atom": 0.0,
  "formation_energy_kj_per_mol_atoms": 11.7,
  "e_tot_ev_per_cell": -39.80,
  "crystal_system": "cubic"
}

=====

No. 8
{
  "formula": "TbY3Tm6",
  "functional": "PBE",
  "state": "relaxed",
  "lattice_angstrom": [[8.601, 0.000, 4.564], [3.089, 8.027, 4.564], [2.172, 1.491, 6.294]],
  "species": ["Tb", "Y", "Y", "Y", "Tm", "Tm", "Tm", "Tm", "Tm", "Tm"],
  "fractional_positions": [[0.888, 0.888, 0.337], [0.387, 0.387, 0.840], [0.629, 0.629, 0.114], [0.129, 0.129, 0.614], [0.917, 0.574, 0.267], [0.242, 0.917, 0.267], [0.574, 0.242, 0.267], [0.073, 0.419, 0.764], [0.744, 0.073, 0.764], [0.419, 0.744, 0.764]],
  "relative_energy_mev_per_atom": 168.7,
  "formation_energy_kj_per_mol_atoms": 30.0,
  "e_tot_ev_per_cell": -47.74,
  "crystal_system": "trigonal"
}

=====

No. 9
{
  "formula": "Dy4Tm19Th6",
  "functional": "PBE",
  "state": "relaxed",
  "lattice_angstrom": [[-1.439, 6.711, -8.186], [-1.590, -10.035, -3.300], [-6.940, 2.332, 7.778]],
  "species": ["Dy", "Dy", "Dy", "Dy", "Tm", "Tm", "Tm", "Tm", "Tm", "Tm", "Tm", "Tm", "Tm", "Tm", "Tm", "Tm", "Tm", "Tm", "Tm", "Tm", "Tm", "Tm", "Tm", "Th", "Th", "Th", "Th", "Th", "Th"],
  "fractional_positions": [[0.000, 0.000, 0.644], [0.000, 0.644, 0.000], [0.356, 0.356, 0.356], [0.644, 0.000, 0.000], [0.737, 0.000, 0.737], [0.263, 0.000, 0.263], [0.263, 0.263, 0.000], [0.737, 0.737, 0.000], [0.000, 0.737, 0.737], [0.000, 0.263, 0.263], [0.000, 0.000, 0.000], [0.190, 0.209, 0.532], [0.810, 0.342, 0.019], [0.677, 0.658, 0.468], [0.019, 0.810, 0.342], [0.323, 0.791, 0.981], [0.532, 0.190, 0.209], [0.981, 0.323, 0.791], [0.468, 0.677, 0.658], [0.791, 0.981, 0.323], [0.342, 0.019, 0.810], [0.209, 0.532, 0.190], [0.658, 0.468, 0.677], [0.370, 0.500, 0.870], [0.630, 0.500, 0.130], [0.130, 0.630, 0.500], [0.870, 0.370, 0.500], [0.500, 0.870, 0.370], [0.500, 0.130, 0.630]],
  "formation_energy_kj_per_mol_atoms": 41.1,
  "e_tot_ev_per_cell": -135.55,
  "crystal_system": "cubic"
}

=====

No. 10
{
  "formula": "Sb2AuSe",
  "functional": "PBE",
  "state": "relaxed",
  "lattice_angstrom": [[3.939, 0.000, 0.000], [1.969, 3.411, 0.000], [1.969, 1.137, 7.505]],
  "species": ["Sb", "Sb", "Au", "Se"],
  "fractional_positions": [[0.077, 0.077, 0.770], [0.259, 0.259, 0.223], [0.668, 0.668, 0.995], [0.496, 0.496, 0.513]],
  "e_tot_ev_per_cell": -15.05,
  "raw_formation_energy_ev_per_atom": -0.0101,
  "crystal_system": "trigonal"
}

=====

No. 11
{
  "formula": "SrSn2Sb2",
  "functional": "PBE",
  "state": "relaxed",
  "lattice_angstrom": [[-3.556, 2.648, -1.582], [-2.694, -1.570, 3.429], [5.995, 9.198, 8.921]],
  "species": ["Sr", "Sr", "Sn", "Sn", "Sn", "Sn", "Sb", "Sb", "Sb", "Sb"],
  "fractional_positions": [[0.341, 0.250, 0.682], [0.659, 0.750, 0.318], [0.050, 0.750, 0.099], [0.455, 0.750, 0.911], [0.950, 0.250, 0.901], [0.545, 0.250, 0.089], [0.751, 0.250, 0.502], [0.249, 0.750, 0.498], [0.875, 0.750, 0.750], [0.125, 0.250, 0.250]],
  "e_tot_ev_per_cell": -39.29,
  "raw_formation_energy_ev_per_atom": -0.3427,
  "crystal_system": "orthorhombic"
}

=====

No. 12
{
  "formula": "Nd3YEr2As6",
  "functional": "PBE",
  "state": "relaxed",
  "lattice_angstrom": [[7.252, 0.000, 0.001], [-3.625, 6.282, 0.001], [-1.209, -2.093, 6.829]],
  "species": ["Nd", "Nd", "Nd", "Y", "Er", "Er", "As", "As", "As", "As", "As", "As"],
  "fractional_positions": [[0.166, 0.834, 0.500], [0.834, 0.166, 0.500], [0.500, 0.500, 0.500], [0.000, 0.000, 0.000], [0.333, 0.667, 0.000], [0.667, 0.333, 0.000], [0.920, 0.585, 0.761], [0.745, 0.745, 0.239], [0.080, 0.415, 0.239], [0.585, 0.920, 0.761], [0.255, 0.255, 0.761], [0.415, 0.080, 0.239]],
  "formation_energy_kj_per_mol_atoms": -146.1,
  "e_tot_ev_per_cell": -75.97,
  "crystal_system": "monoclinic"
}

=====

Copy entry 11 word for word.
{
  "formula": "SrSn2Sb2",
  "functional": "PBE",
  "state": "relaxed",
  "lattice_angstrom": [[-3.556, 2.648, -1.582], [-2.694, -1.570, 3.429], [5.995, 9.198, 8.921]],
  "species": ["Sr", "Sr", "Sn", "Sn", "Sn", "Sn", "Sb", "Sb", "Sb", "Sb"],
  "fractional_positions": [[0.341, 0.250, 0.682], [0.659, 0.750, 0.318], [0.050, 0.750, 0.099], [0.455, 0.750, 0.911], [0.950, 0.250, 0.901], [0.545, 0.250, 0.089], [0.751, 0.250, 0.502], [0.249, 0.750, 0.498], [0.875, 0.750, 0.750], [0.125, 0.250, 0.250]],
  "e_tot_ev_per_cell": -39.29,
  "raw_formation_energy_ev_per_atom": -0.3427,
  "crystal_system": "orthorhombic"
}